# 1
! PBE-GGA HoSi2Tc, relaxed; values from VASP
&SYSTEM
  ibrav = 0, nat = 4, ntyp = 3
/
ATOMIC_SPECIES
Ho 164.93 Ho.upf
Tc 98.00 Tc.upf
Si 28.09 Si.upf
CELL_PARAMETERS angstrom
-2.731 1.520 0.068
-0.793 -1.303 -2.729
-2.820 -5.215 3.309
ATOMIC_POSITIONS crystal
Ho 0.500 0.500 0.500
Tc 0.500 0.500 0.000
Si 0.000 0.000 0.194
Si 0.000 0.000 0.806
! formation energy (no corrections)	-0.475	eV/atom
! calculated total energy	-6.9221	eV per atom
! magnetization	0.0	μB per formula unit
! V	16.6	Å³/atom


# 2
! PBE-GGA HoSiTc, relaxed; values from VASP
&SYSTEM
  ibrav = 0, nat = 3, ntyp = 3
/
ATOMIC_SPECIES
Tc 98.00 Tc.upf
Si 28.09 Si.upf
Ho 164.93 Ho.upf
CELL_PARAMETERS angstrom
-0.835 3.093 1.906
-4.108 -0.801 -0.500
2.050 -1.515 3.357
ATOMIC_POSITIONS crystal
Tc 0.167 0.333 0.667
Si 0.167 0.000 0.000
Ho 0.667 0.667 0.333
! formation energy (no corrections)	-0.459	eV/atom
! calculated total energy	-7.2482	eV per atom
! magnetization	0.0	μB per formula unit
! V	19.1	Å³/atom


# 3
! PBE-GGA Ho3SiTe, relaxed; values from VASP
&SYSTEM
  ibrav = 0, nat = 10, ntyp = 3
/
ATOMIC_SPECIES
Ho 164.93 Ho.upf
Te 127.60 Te.upf
Si 28.09 Si.upf
CELL_PARAMETERS angstrom
4.082 0.000 -0.001
2.041 6.659 -0.302
-0.001 2.340 10.237
ATOMIC_POSITIONS crystal
Ho 0.742 0.084 0.644
Ho 0.239 0.090 0.281
Ho 0.449 0.671 0.778
Ho 0.477 0.614 0.105
Ho 0.211 0.147 0.955
Ho 0.946 0.677 0.415
Te 0.602 0.364 0.375
Te 0.086 0.397 0.684
Si 0.830 0.907 0.147
Si 0.858 0.853 0.912
! formation energy (no corrections)	-0.722	eV/atom
! calculated total energy	-5.1821	eV per atom
! magnetization	0.0	μB per formula unit
! V	28.1	Å³/atom


# 4
! PBE-GGA Ho5SiTe4, relaxed; values from VASP
&SYSTEM
  ibrav = 0, nat = 10, ntyp = 3
/
ATOMIC_SPECIES
Te 127.60 Te.upf
Ho 164.93 Ho.upf
Si 28.09 Si.upf
CELL_PARAMETERS angstrom
-2.188 5.461 -1.380
-4.312 2.962 5.329
4.398 5.645 2.135
ATOMIC_POSITIONS crystal
Te 0.592 0.602 0.216
Te 0.808 0.784 0.602
Te 0.410 0.398 0.784
Te 0.194 0.216 0.398
Ho 0.501 0.000 0.000
Ho 0.906 0.366 0.825
Ho 0.271 0.825 0.634
Ho 0.731 0.175 0.366
Ho 0.097 0.634 0.175
Si 0.001 0.000 0.000
! formation energy (no corrections)	-1.234	eV/atom
! calculated total energy	-5.3214	eV per atom
! magnetization	0.0	μB per formula unit
! V	28.2	Å³/atom


# 5
! PBE-GGA Ho3SiTe6, relaxed; values from VASP
&SYSTEM
  ibrav = 0, nat = 20, ntyp = 3
/
ATOMIC_SPECIES
Te 127.60 Te.upf
Ho 164.93 Ho.upf
Si 28.09 Si.upf
CELL_PARAMETERS angstrom
7.244 0.000 0.000
0.000 9.556 0.065
0.000 -2.069 9.330
ATOMIC_POSITIONS crystal
Te 0.174 0.038 0.962
Te 0.179 0.375 0.298
Te 0.210 0.098 0.561
Te 0.679 0.625 0.702
Te 0.657 0.220 0.780
Te 0.210 0.439 0.902
Te 0.179 0.702 0.625
Te 0.157 0.780 0.220
Te 0.674 0.962 0.038
Te 0.710 0.902 0.439
Te 0.679 0.298 0.375
Te 0.710 0.561 0.098
Ho 0.986 0.084 0.278
Ho 0.877 0.594 0.406
Ho 0.377 0.406 0.594
Ho 0.486 0.916 0.722
Ho 0.486 0.278 0.084
Ho 0.986 0.722 0.916
Si 0.527 0.797 0.203
Si 0.027 0.203 0.797
! formation energy (no corrections)	-0.953	eV/atom
! calculated total energy	-4.7533	eV per atom
! magnetization	0.0	μB per formula unit
! V	32.3	Å³/atom


# 6
! PBE-GGA Ho3SiTe2, relaxed; values from VASP
&SYSTEM
  ibrav = 0, nat = 12, ntyp = 3
/
ATOMIC_SPECIES
Te 127.60 Te.upf
Si 28.09 Si.upf
Ho 164.93 Ho.upf
CELL_PARAMETERS angstrom
-4.899 5.089 2.013
-2.597 -1.658 -6.730
-0.895 -4.861 5.510
ATOMIC_POSITIONS crystal
Te 0.750 0.081 0.919
Te 0.750 0.760 0.240
Te 0.250 0.919 0.081
Te 0.250 0.240 0.760
Si 0.750 0.409 0.591
Si 0.250 0.591 0.409
Ho 0.006 0.214 0.359
Ho 0.500 0.000 0.500
Ho 0.494 0.641 0.786
Ho 0.506 0.359 0.214
Ho 0.000 0.500 0.000
Ho 0.994 0.786 0.641
! formation energy (no corrections)	-1.190	eV/atom
! calculated total energy	-5.4298	eV per atom
! magnetization	0.0	μB per formula unit
! V	27.6	Å³/atom


# 7
! PBE-GGA Ho3Si5Te12, relaxed; values from VASP
&SYSTEM
  ibrav = 0, nat = 80, ntyp = 3
/
ATOMIC_SPECIES
Te 127.60 Te.upf
Si 28.09 Si.upf
Ho 164.93 Ho.upf
CELL_PARAMETERS angstrom
-7.063 12.809 1.883
-8.647 -11.084 4.457
12.433 0.030 7.931
ATOMIC_POSITIONS crystal
Te 0.409 0.372 0.586
Te 0.214 0.536 0.628
Te 0.414 0.286 0.323
Te 0.286 0.414 0.823
Te 0.714 0.586 0.177
Te 0.677 0.464 0.591
Te 0.586 0.872 0.409
Te 0.091 0.177 0.464
Te 0.323 0.536 0.409
Te 0.286 0.872 0.964
Te 0.964 0.372 0.286
Te 0.536 0.214 0.128
Te 0.914 0.091 0.628
Te 0.591 0.964 0.677
Te 0.036 0.409 0.823
Te 0.714 0.128 0.036
Te 0.414 0.128 0.591
Te 0.628 0.036 0.214
Te 0.909 0.823 0.536
Te 0.909 0.086 0.872
Te 0.786 0.323 0.914
Te 0.177 0.086 0.714
Te 0.372 0.409 0.086
Te 0.628 0.591 0.914
Te 0.409 0.036 0.323
Te 0.128 0.714 0.536
Te 0.036 0.628 0.714
Te 0.086 0.177 0.214
Te 0.177 0.091 0.964
Te 0.786 0.464 0.372
Te 0.586 0.714 0.677
Te 0.464 0.786 0.872
Te 0.536 0.323 0.909
Te 0.372 0.964 0.786
Te 0.091 0.914 0.128
Te 0.128 0.414 0.091
Te 0.914 0.823 0.786
Te 0.964 0.591 0.177
Te 0.464 0.677 0.091
Te 0.214 0.677 0.086
Te 0.591 0.628 0.414
Te 0.086 0.909 0.372
Te 0.872 0.586 0.909
Te 0.872 0.286 0.464
Te 0.677 0.214 0.586
Te 0.323 0.786 0.414
Te 0.823 0.914 0.286
Te 0.823 0.909 0.036
Si 0.500 0.000 0.500
Si 0.000 0.500 0.500
Si 0.875 0.250 0.625
Si 0.500 0.000 0.000
Si 0.125 0.375 0.250
Si 0.500 0.500 0.000
Si 0.750 0.125 0.875
Si 0.625 0.750 0.875
Si 0.250 0.375 0.625
Si 0.375 0.125 0.750
Si 0.250 0.875 0.125
Si 0.000 0.500 0.000
Si 0.375 0.250 0.125
Si 0.625 0.875 0.250
Si 0.750 0.625 0.375
Si 0.000 0.000 0.000
Si 0.125 0.750 0.375
Si 0.000 0.000 0.500
Si 0.875 0.625 0.750
Si 0.500 0.500 0.500
Ho 0.625 0.375 0.750
Ho 0.250 0.625 0.875
Ho 0.125 0.250 0.875
Ho 0.875 0.125 0.250
Ho 0.375 0.750 0.625
Ho 0.375 0.625 0.250
Ho 0.750 0.875 0.625
Ho 0.250 0.125 0.375
Ho 0.875 0.750 0.125
Ho 0.625 0.250 0.375
Ho 0.750 0.375 0.125
Ho 0.125 0.875 0.750
! formation energy (no corrections)	-0.402	eV/atom
! calculated total energy	-4.3291	eV per atom
! magnetization	0.0	μB per formula unit
! V	30.9	Å³/atom


# 8
! PBE-GGA Ho3SiTe2, relaxed; values from VASP
&SYSTEM
  ibrav = 0, nat = 12, ntyp = 3
/
ATOMIC_SPECIES
Te 127.60 Te.upf
Ho 164.93 Ho.upf
Si 28.09 Si.upf
CELL_PARAMETERS angstrom
7.272 -0.024 -1.214
-3.919 6.125 -1.214
0.005 0.009 7.466
ATOMIC_POSITIONS crystal
Te 0.174 0.826 0.500
Te 0.833 0.167 0.500
Te 0.333 0.667 0.000
Te 0.493 0.507 0.500
Ho 0.051 0.384 0.219
Ho 0.616 0.949 0.781
Ho 0.764 0.742 0.225
Ho 0.902 0.591 0.775
Ho 0.258 0.236 0.775
Ho 0.409 0.098 0.225
Si 0.665 0.335 0.000
Si 0.001 0.999 0.000
! formation energy (no corrections)	-1.206	eV/atom
! calculated total energy	-5.4461	eV per atom
! magnetization	0.0	μB per formula unit
! V	27.7	Å³/atom


# 9
! PBE-GGA Ho5Si2Te2, relaxed; values from VASP
&SYSTEM
  ibrav = 0, nat = 18, ntyp = 3
/
ATOMIC_SPECIES
Ho 164.93 Ho.upf
Si 28.09 Si.upf
Te 127.60 Te.upf
CELL_PARAMETERS angstrom
7.274 0.000 2.641
0.000 7.780 0.000
1.055 0.000 8.434
ATOMIC_POSITIONS crystal
Ho 0.040 0.665 0.248
Ho 0.500 0.500 0.000
Ho 0.712 0.335 0.248
Ho 0.788 0.835 0.752
Ho 0.000 0.000 0.000
Ho 0.212 0.165 0.248
Ho 0.540 0.835 0.248
Ho 0.460 0.165 0.752
Ho 0.960 0.335 0.752
Ho 0.288 0.665 0.752
Si 0.365 0.867 0.000
Si 0.865 0.633 0.000
Si 0.635 0.133 0.000
Si 0.135 0.367 0.000
Te 0.795 0.000 0.411
Te 0.295 0.500 0.411
Te 0.205 0.000 0.589
Te 0.705 0.500 0.589
! formation energy (no corrections)	-0.992	eV/atom
! calculated total energy	-5.4390	eV per atom
! magnetization	0.0	μB per formula unit
! V	25.3	Å³/atom


# 10
! PBE-GGA HoSi2Te6, relaxed; values from VASP
&SYSTEM
  ibrav = 0, nat = 18, ntyp = 3
/
ATOMIC_SPECIES
Te 127.60 Te.upf
Si 28.09 Si.upf
Ho 164.93 Ho.upf
CELL_PARAMETERS angstrom
-5.837 1.775 -4.396
-2.049 -8.116 -4.531
-7.611 -2.686 5.045
ATOMIC_POSITIONS crystal
Te 0.135 0.071 0.612
Te 0.502 0.309 0.440
Te 0.365 0.388 0.929
Te 0.668 0.972 0.811
Te 0.498 0.691 0.560
Te 0.002 0.440 0.309
Te 0.832 0.189 0.028
Te 0.865 0.929 0.388
Te 0.332 0.028 0.189
Te 0.998 0.560 0.691
Te 0.168 0.811 0.972
Te 0.635 0.612 0.071
Si 0.253 0.626 0.788
Si 0.247 0.212 0.374
Si 0.753 0.788 0.626
Si 0.747 0.374 0.212
Ho 0.750 0.874 0.126
Ho 0.250 0.126 0.874
! formation energy (no corrections)	-0.282	eV/atom
! calculated total energy	-4.0901	eV per atom
! magnetization	0.0	μB per formula unit
! V	35.4	Å³/atom


# 11
! PBE-GGA Ho5SiTe5, relaxed; values from VASP
&SYSTEM
  ibrav = 0, nat = 11, ntyp = 3
/
ATOMIC_SPECIES
Si 28.09 Si.upf
Te 127.60 Te.upf
Ho 164.93 Ho.upf
CELL_PARAMETERS angstrom
6.073 0.000 0.000
-3.036 6.814 -0.081
0.000 -2.648 8.145
ATOMIC_POSITIONS crystal
Si 0.000 0.000 0.000
Te 0.664 0.328 0.825
Te 0.328 0.655 0.664
Te 0.672 0.345 0.336
Te 0.000 0.000 0.500
Te 0.336 0.672 0.175
Ho 0.844 0.689 0.159
Ho 0.156 0.311 0.841
Ho 0.500 0.000 0.000
Ho 0.845 0.690 0.684
Ho 0.155 0.310 0.316
! formation energy (no corrections)	-1.290	eV/atom
! calculated total energy	-5.2914	eV per atom
! magnetization	0.0	μB per formula unit
! V	30.5	Å³/atom


# 12
! PBE-GGA Ho6SiTe5, relaxed; values from VASP
&SYSTEM
  ibrav = 0, nat = 12, ntyp = 3
/
ATOMIC_SPECIES
Te 127.60 Te.upf
Ho 164.93 Ho.upf
Si 28.09 Si.upf
CELL_PARAMETERS angstrom
7.342 -0.108 -1.379
-3.962 6.183 -1.379
0.140 0.252 7.460
ATOMIC_POSITIONS crystal
Te 0.336 0.664 0.000
Te 0.664 0.336 0.000
Te 0.500 0.500 0.500
Te 0.824 0.176 0.500
Te 0.176 0.824 0.500
Ho 0.378 0.075 0.228
Ho 0.778 0.778 0.235
Ho 0.075 0.378 0.228
Ho 0.925 0.622 0.772
Ho 0.622 0.925 0.772
Ho 0.222 0.222 0.765
Si 0.000 0.000 0.000
! formation energy (no corrections)	-1.261	eV/atom
! calculated total energy	-5.3105	eV per atom
! magnetization	0.0	μB per formula unit
! V	28.4	Å³/atom